1.
HfIn3Au: optimized geometry, GGA-PBEsol.

Values from the calculation:
As for the space group: Pm-3m. The value obtained for the formation enthalpy at 0 K is 0.98 eV/atom.

Cell: 5.4278 5.4278 5.4278 Å, 90.00 90.00 90.00°
Sites, in units of the cell vectors:
Hf 0.0000 0.0000 0.0000
In 0.0000 0.0000 0.5000
In 0.0000 0.5000 0.0000
In 0.5000 0.0000 0.0000
Au 0.5000 0.5000 0.5000

=====

2.
HfInAu2S: optimized geometry, GGA-PBEsol.

Values from the calculation:
The calculation puts the uncorrected formation energy at 0.076 eV/atom. As for the space group: P4/mmm.

Cell: 4.7050 4.7050 4.7255 Å, 90.00 90.00 90.00°
Sites, in units of the cell vectors:
Hf 0.0000 0.0000 0.0000
In 0.5000 0.5000 0.0000
Au 0.0000 0.5000 0.5000
Au 0.5000 0.0000 0.5000
S 0.0000 0.0000 0.5000

=====

3.
Hf2Ir2Au: optimized geometry, GGA-PBEsol.

Values from the calculation:
As for the space group: P4/mbm. The value obtained for the formation enthalpy at 0 K is -0.74 eV/atom.

Cell: 7.5159 7.5159 3.1093 Å, 90.00 90.00 90.00°
Sites, in units of the cell vectors:
Hf 0.1614 0.3386 0.0000
Hf 0.3386 0.8386 0.0000
Hf 0.6614 0.1614 0.0000
Hf 0.8386 0.6614 0.0000
Ir 0.1365 0.6365 0.5000
Ir 0.3635 0.1365 0.5000
Ir 0.6365 0.8635 0.5000
Ir 0.8635 0.3635 0.5000
Au 0.0000 0.0000 0.5000
Au 0.5000 0.5000 0.5000

=====

4.
Hf2MnIrAu: optimized geometry, GGA-PBEsol.

Values from the calculation:
As for the space group: P4/mmm. The value obtained for the formation enthalpy at 0 K is 1.33 eV/atom.

Cell: 4.9209 4.9209 4.9069 Å, 90.00 90.00 90.00°
Sites, in units of the cell vectors:
Hf 0.0000 0.5000 0.0000
Hf 0.5000 0.0000 0.0000
Mn 0.0000 0.0000 0.5000
Ir 0.5000 0.5000 0.5000
Au 0.5000 0.5000 0.0000

=====

5.
Hf2NiIrAu: optimized geometry, GGA-PBEsol.

Values from the calculation:
As for the space group: P4/mmm. The value obtained for the formation enthalpy at 0 K is 0.42 eV/atom.

Cell: 4.8649 4.8649 4.5120 Å, 90.00 90.00 90.00°
Sites, in units of the cell vectors:
Hf 0.0000 0.5000 0.0000
Hf 0.5000 0.0000 0.0000
Ni 0.0000 0.0000 0.5000
Ir 0.0000 0.0000 0.0000
Au 0.5000 0.5000 0.5000

=====

6.
KHf3Au: optimized geometry, GGA-PBEsol.

Values from the calculation:
As for the space group: Pm-3m. The value obtained for the formation enthalpy at 0 K is 2.04 eV/atom.

Cell: 4.7091 4.7091 4.7091 Å, 90.00 90.00 90.00°
Sites, in units of the cell vectors:
K 0.0000 0.0000 0.0000
Hf 0.0000 0.0000 0.5000
Hf 0.0000 0.5000 0.0000
Hf 0.5000 0.0000 0.0000
Au 0.5000 0.5000 0.5000

=====

These records have calculated total energy values of -3.70 -5.07 -9.66 -7.57 -7.76 -5.27 eV/atom, in the order they appear.